[1]
{
  "formula": "LaReAs2Ru",
  "functional": "PBE-GGA",
  "state": "optimized geometry",
  "dos_ef_per_ev_cell": 5.4,
  "formation_energy_kj_per_mol_fu": 78,
  "sg": "P4/mmm (123)",
  "energy_ev_per_cell": -35.14,
  "cell": [[4.803, 0.000, 0.000], [0.000, 4.876, 0.000], [0.000, 0.000, 4.803]],
  "species": ["Re", "As", "As", "Ru", "La"],
  "fractional_positions": [[0.000, 0.000, 0.000], [0.000, 0.000, 0.500], [0.500, 0.000, 0.000], [0.000, 0.500, 0.000], [0.500, 0.500, 0.500]]
}

=====

[2]
{
  "formula": "LaReAs2Se",
  "functional": "PBE-GGA",
  "state": "optimized geometry",
  "dos_ef_per_ev_cell": 5.5,
  "e_form_raw_ev_per_atom": 1.428,
  "e_above_lowest_polymorph_mev_per_atom": 1727,
  "sg": "P4/mmm (123)",
  "energy_ev_per_cell": -23.02,
  "cell": [[5.712, 0.000, 0.000], [0.000, 5.712, 0.000], [0.000, 0.000, 5.591]],
  "species": ["Re", "As", "As", "Se", "La"],
  "fractional_positions": [[0.500, 0.500, 0.500], [0.000, 0.500, 0.000], [0.500, 0.000, 0.000], [0.000, 0.000, 0.500], [0.000, 0.000, 0.000]]
}

=====

[3]
{
  "formula": "LaReAs2Se",
  "functional": "PBE-GGA",
  "state": "optimized geometry",
  "dos_ef_per_ev_cell": 2.4,
  "e_form_raw_ev_per_atom": -0.299,
  "e_above_lowest_polymorph_mev_per_atom": 0,
  "sg": "P4/mmm (123)",
  "energy_ev_per_cell": -31.65,
  "cell": [[4.717, 0.000, 0.000], [0.000, 4.717, 0.000], [0.000, 0.000, 5.507]],
  "species": ["Re", "As", "As", "Se", "La"],
  "fractional_positions": [[0.000, 0.000, 0.000], [0.000, 0.500, 0.000], [0.500, 0.000, 0.000], [0.000, 0.000, 0.500], [0.500, 0.500, 0.500]]
}

=====

[4]
{
  "formula": "LaReTe2As",
  "functional": "PBE-GGA",
  "state": "optimized geometry",
  "dos_ef_per_ev_cell": 6.1,
  "e_form_raw_ev_per_atom": 0.970,
  "sg": "P4/mmm (123)",
  "energy_ev_per_cell": -23.46,
  "cell": [[-0.733, 4.662, -2.568], [-3.038, -2.686, -4.010], [-4.487, 0.853, 2.828]],
  "species": ["Re", "As", "Te", "Te", "La"],
  "fractional_positions": [[0.500, 0.500, 0.500], [0.000, 0.000, 0.000], [0.000, 0.000, 0.500], [0.500, 0.000, 0.000], [0.000, 0.500, 0.000]]
}

=====

Spin magnetization? In order: 0.00, 3.80, 0.00, 4.16 μB/f.u..